# NbNiF2 | Alexandria | PBE+U | relaxed
data_NbNiF2
_space_group_name_H-M_alt 'R -3 m'
_space_group_IT_number 166
_space_group_name_Hall '-R 3 2"'
_cell_length_a 2.9527
_cell_length_b 2.9527
_cell_length_c 21.1683
_cell_angle_alpha 90.00
_cell_angle_beta 90.00
_cell_angle_gamma 120.00
loop_
_atom_site_label
_atom_site_type_symbol
_atom_site_fract_x
_atom_site_fract_y
_atom_site_fract_z
Nb1 Nb 0.0000 0.0000 0.0000
Ni1 Ni 0.0000 0.0000 0.5000
F1 F 0.0000 0.0000 0.1115
# **Size of the total moment**: 5.5 Bohr magnetons per cell
# **Energy**: -20.37 eV per formula unit
# **V**: 159.8 Å³ per cell
# **N(E_F)**: 1.193 states/eV per atom